The following is a DFT calculation (PBE) of crystalline PuMg4Ge2 at its relaxed geometry.

Unit cell a=8.485 b=8.485 c=4.225 alpha=90.00 beta=90.00 gamma=90.00
Fractional positions:
Pu: 0.000 0.000 0.000
Pu: 0.500 0.500 0.500
Mg: 0.096 0.339 0.500
Mg: 0.161 0.596 0.000
Mg: 0.339 0.096 0.500
Mg: 0.404 0.839 0.000
Mg: 0.596 0.161 0.000
Mg: 0.661 0.904 0.500
Mg: 0.839 0.404 0.000
Mg: 0.904 0.661 0.500
Ge: 0.193 0.807 0.500
Ge: 0.307 0.307 0.000
Ge: 0.693 0.693 0.000
Ge: 0.807 0.193 0.500

Summary:
Energy ... -63.1 eV for the cell shown
Magnetization ... 11.319 μB per cell
Density of states at the Fermi level ... 1.8537 states/eV/atom
Formation energy ... -0.227 eV per atom
ρ ... 5.31 Mg/m³

The following is a DFT calculation (PBE) of crystalline PuMgGe2 at its relaxed geometry.

Unit cell a=3.217 b=3.217 c=7.967 alpha=90.00 beta=90.00 gamma=90.00
Fractional positions:
Pu: 0.000 0.000 0.000
Mg: 0.000 0.000 0.500
Ge: 0.500 0.500 0.264
Ge: 0.500 0.500 0.736

Summary:
Energy ... -26.1 eV for the cell shown
Magnetization ... 5.624 μB per cell
Density of states at the Fermi level ... 1.7862 states/eV/atom
Energy above the most stable polymorph in this dataset ... 125.9 meV/atom
Formation energy ... -0.230 eV per atom
ρ ... 8.33 Mg/m³

The following is a DFT calculation (PBE) of crystalline Pu2Mg2Ge at its relaxed geometry.

Unit cell a=9.063 b=9.063 c=9.063 alpha=155.34 beta=155.34 gamma=35.16
Fractional positions:
Pu: 0.082 0.082 0.000
Pu: 0.918 0.918 0.000
Mg: 0.250 0.750 0.500
Mg: 0.750 0.250 0.500
Ge: 0.500 0.500 0.000

Summary:
Energy ... -35.8 eV for the cell shown
Magnetization ... 11.521 μB per cell
Density of states at the Fermi level ... 3.6334 states/eV/atom
Formation energy ... 0.129 eV per atom
ρ ... 7.82 Mg/m³

The following is a DFT calculation (PBE) of crystalline Pu5MgGe5 at its relaxed geometry.

Unit cell a=8.657 b=8.657 c=6.156 alpha=103.44 beta=103.44 gamma=35.61
Fractional positions:
Pu: 0.000 0.000 0.000
Pu: 0.332 0.332 0.574
Pu: 0.354 0.354 0.093
Pu: 0.646 0.646 0.907
Pu: 0.668 0.668 0.426
Mg: 0.000 0.000 0.500
Ge: 0.171 0.171 0.731
Ge: 0.179 0.179 0.170
Ge: 0.500 0.500 0.500
Ge: 0.821 0.821 0.830
Ge: 0.829 0.829 0.269

Summary:
Energy ... -98.1 eV for the cell shown
Magnetization ... 15.530 μB per cell
Density of states at the Fermi level ... 3.6843 states/eV/atom
Formation energy ... -0.164 eV per atom
ρ ... 10.25 Mg/m³

The following is a DFT calculation (PBE) of crystalline PuMgGe2 at its relaxed geometry.

Unit cell a=4.482 b=4.482 c=4.059 alpha=90.00 beta=90.00 gamma=90.00
Fractional positions:
Pu: 0.000 0.000 0.000
Mg: 0.500 0.500 0.000
Ge: 0.000 0.500 0.500
Ge: 0.500 0.000 0.500

Summary:
Energy ... -26.6 eV for the cell shown
Magnetization ... 5.354 μB per cell
Density of states at the Fermi level ... 2.3412 states/eV/atom
Energy above the most stable polymorph in this dataset ... 0.0 meV/atom
Formation energy ... -0.356 eV per atom
ρ ... 8.42 Mg/m³

The following is a DFT calculation (PBE) of crystalline Pu6MgGe5 at its relaxed geometry.

Unit cell a=4.606 b=8.294 c=7.260 alpha=90.00 beta=104.72 gamma=90.00
Fractional positions:
Pu: 0.000 0.228 0.000
Pu: 0.000 0.772 0.000
Pu: 0.324 0.252 0.649
Pu: 0.324 0.748 0.649
Pu: 0.676 0.252 0.351
Pu: 0.676 0.748 0.351
Mg: 0.500 0.500 0.000
Ge: 0.150 0.500 0.291
Ge: 0.168 0.000 0.340
Ge: 0.500 0.000 0.000
Ge: 0.832 0.000 0.660
Ge: 0.850 0.500 0.709

Summary:
Energy ... -115.0 eV for the cell shown
Magnetization ... 33.715 μB per cell
Density of states at the Fermi level ... 2.9295 states/eV/atom
Formation energy ... -0.356 eV per atom
ρ ... 11.46 Mg/m³

The following is a DFT calculation (PBE) of crystalline Pu2MgGe4Rh3 at its relaxed geometry.

Unit cell a=4.205 b=4.205 c=10.617 alpha=90.00 beta=90.00 gamma=90.00
Fractional positions:
Pu: 0.000 0.500 0.239
Pu: 0.500 0.000 0.761
Mg: 0.000 0.000 0.500
Ge: 0.000 0.000 0.000
Ge: 0.000 0.500 0.647
Ge: 0.500 0.000 0.353
Ge: 0.500 0.500 0.000
Rh: 0.000 0.500 0.877
Rh: 0.500 0.000 0.123
Rh: 0.500 0.500 0.500

Summary:
Energy ... -76.2 eV for the cell shown
Magnetization ... 10.512 μB per cell
Density of states at the Fermi level ... 2.8005 states/eV/atom
Formation energy ... -0.546 eV per atom
ρ ... 9.83 Mg/m³

The following is a DFT calculation (PBE) of crystalline PuMgGeRh at its relaxed geometry.

Unit cell a=4.767 b=4.767 c=4.767 alpha=60.00 beta=60.00 gamma=60.00
Fractional positions:
Pu: 0.000 0.000 0.000
Mg: 0.500 0.500 0.500
Ge: 0.750 0.750 0.750
Rh: 0.250 0.250 0.250

Summary:
Energy ... -29.3 eV for the cell shown
Magnetization ... 4.967 μB per cell
Density of states at the Fermi level ... 1.5178 states/eV/atom
Formation energy ... -0.341 eV per atom
ρ ... 9.62 Mg/m³

The following is a DFT calculation (PBE) of crystalline Pu2MgGe2Rh5 at its relaxed geometry.

Unit cell a=9.867 b=9.867 c=3.604 alpha=90.00 beta=90.00 gamma=90.00
Fractional positions:
Pu: 0.174 0.326 0.000
Pu: 0.326 0.826 0.000
Pu: 0.674 0.174 0.000
Pu: 0.826 0.674 0.000
Mg: 0.000 0.000 0.000
Mg: 0.500 0.500 0.000
Ge: 0.125 0.625 0.000
Ge: 0.375 0.125 0.000
Ge: 0.625 0.875 0.000
Ge: 0.875 0.375 0.000
Rh: 0.000 0.500 0.500
Rh: 0.068 0.790 0.500
Rh: 0.210 0.068 0.500
Rh: 0.290 0.568 0.500
Rh: 0.432 0.290 0.500
Rh: 0.500 0.000 0.500
Rh: 0.568 0.710 0.500
Rh: 0.710 0.432 0.500
Rh: 0.790 0.932 0.500
Rh: 0.932 0.210 0.500

Summary:
Energy ... -163.1 eV for the cell shown
Magnetization ... 19.955 μB per cell
Density of states at the Fermi level ... 2.7386 states/eV/atom
Formation energy ... -0.530 eV per atom
ρ ... 11.09 Mg/m³

The following is a DFT calculation (PBE) of crystalline PuMgSiGe at its relaxed geometry.

Unit cell a=4.825 b=4.825 c=4.825 alpha=60.00 beta=60.00 gamma=60.00
Fractional positions:
Pu: 0.000 0.000 0.000
Mg: 0.500 0.500 0.500
Si: 0.250 0.250 0.250
Ge: 0.750 0.750 0.750

Summary:
Energy ... -26.9 eV for the cell shown
E_form (uncorrected) ... -0.2245 eV per atom
Magnetization ... 5.397 μB per cell
Density of states at the Fermi level ... 1.9383 states/eV/atom
ρ ... 7.71 Mg/m³

The following is a DFT calculation (PBE) of crystalline SmPuMgGe at its relaxed geometry.

Unit cell a=5.197 b=5.197 c=5.197 alpha=60.00 beta=60.00 gamma=60.00
Fractional positions:
Sm: 0.000 0.000 0.000
Pu: 0.500 0.500 0.500
Mg: 0.750 0.750 0.750
Ge: 0.250 0.250 0.250

Summary:
Energy ... -26.1 eV for the cell shown
Magnetization ... 6.387 μB per cell
Density of states at the Fermi level ... 2.3326 states/eV/atom
Formation energy ... -0.211 eV per atom
ρ ... 8.22 Mg/m³

The following is a DFT calculation (PBE) of crystalline PuMgSnGe at its relaxed geometry.

Unit cell a=5.076 b=5.076 c=5.076 alpha=60.00 beta=60.00 gamma=60.00
Fractional positions:
Pu: 0.000 0.000 0.000
Mg: 0.500 0.500 0.500
Sn: 0.250 0.250 0.250
Ge: 0.750 0.750 0.750

Summary:
Energy ... -25.4 eV for the cell shown
Magnetization ... 5.372 μB per cell
Density of states at the Fermi level ... 2.6074 states/eV/atom
Energy above the most stable polymorph in this dataset ... 109.6 meV/atom
Formation energy ... -0.224 eV per atom
ρ ... 8.25 Mg/m³

The following is a DFT calculation (PBE) of crystalline PuMgSnGe at its relaxed geometry.

Unit cell a=4.273 b=4.457 c=4.739 alpha=90.00 beta=90.00 gamma=90.00
Fractional positions:
Pu: 0.000 0.000 0.000
Mg: 0.000 0.500 0.500
Sn: 0.500 0.000 0.500
Ge: 0.500 0.500 0.000

Summary:
Energy ... -25.9 eV for the cell shown
Magnetization ... 5.555 μB per cell
Density of states at the Fermi level ... 2.5573 states/eV/atom
Energy above the most stable polymorph in this dataset ... 0.0 meV/atom
Formation energy ... -0.334 eV per atom
ρ ... 8.46 Mg/m³

The following is a DFT calculation (PBE) of crystalline PuMg2SnGe at its relaxed geometry.

Unit cell a=8.783 b=8.783 c=8.773 alpha=90.00 beta=90.00 gamma=158.13
Fractional positions:
Pu: 0.095 0.905 0.750
Pu: 0.905 0.095 0.250
Mg: 0.327 0.673 0.559
Mg: 0.327 0.673 0.941
Mg: 0.673 0.327 0.059
Mg: 0.673 0.327 0.441
Sn: 0.500 0.500 0.000
Sn: 0.500 0.500 0.500
Ge: 0.257 0.743 0.250
Ge: 0.743 0.257 0.750

Summary:
Energy ... -53.9 eV for the cell shown
Magnetization ... 11.371 μB per cell
Density of states at the Fermi level ... 1.9542 states/eV/atom
Formation energy ... -0.159 eV per atom
ρ ... 6.37 Mg/m³

The following is a DFT calculation (PBE) of crystalline TbPuMgGe at its relaxed geometry.

Unit cell a=5.154 b=5.154 c=5.154 alpha=60.00 beta=60.00 gamma=60.00
Fractional positions:
Tb: 0.000 0.000 0.000
Pu: 0.500 0.500 0.500
Mg: 0.750 0.750 0.750
Ge: 0.250 0.250 0.250

Summary:
Energy ... -26.0 eV for the cell shown
Magnetization ... 6.336 μB per cell
Density of states at the Fermi level ... 2.2112 states/eV/atom
Formation energy ... -0.216 eV per atom
ρ ... 8.58 Mg/m³

The following is a DFT calculation (PBE) of crystalline PuMgZnGe at its relaxed geometry.

Unit cell a=4.871 b=4.871 c=4.871 alpha=60.00 beta=60.00 gamma=60.00
Fractional positions:
Pu: 0.000 0.000 0.000
Mg: 0.500 0.500 0.500
Zn: 0.750 0.750 0.750
Ge: 0.250 0.250 0.250

Summary:
Energy ... -22.8 eV for the cell shown
Magnetization ... 5.660 μB per cell
Density of states at the Fermi level ... 2.0966 states/eV/atom
Formation energy ... -0.256 eV per atom
ρ ... 8.26 Mg/m³

The following is a DFT calculation (PBE) of crystalline Rb2MgGe at its relaxed geometry.

Unit cell a=10.104 b=10.104 c=10.104 alpha=93.56 beta=93.56 gamma=151.13
Fractional positions:
Rb: 0.375 0.173 0.298
Rb: 0.827 0.125 0.202
Rb: 0.875 0.077 0.702
Rb: 0.923 0.625 0.798
Mg: 0.250 0.750 0.500
Mg: 0.500 0.500 0.000
Ge: 0.000 0.000 0.000
Ge: 0.750 0.250 0.500

Summary:
Energy ... -15.6 eV for the cell shown
Magnetization ... 0.000 μB per cell
Density of states at the Fermi level ... 0.3388 states/eV/atom
Formation energy ... 0.082 eV per atom
ρ ... 1.84 Mg/m³

The following is a DFT calculation (PBE) of crystalline Rb2MgGe at its relaxed geometry.

Unit cell a=6.153 b=6.153 c=6.153 alpha=60.00 beta=60.00 gamma=60.00
Fractional positions:
Rb: 0.250 0.250 0.250
Rb: 0.750 0.750 0.750
Mg: 0.000 0.000 0.000
Ge: 0.500 0.500 0.500

Summary:
Energy ... -6.6 eV for the cell shown
Magnetization ... 1.367 μB per cell
Density of states at the Fermi level ... 1.3323 states/eV/atom
Formation energy ... 0.393 eV per atom
ρ ... 2.70 Mg/m³

The following is a DFT calculation (PBE) of crystalline RbMgGe3 at its relaxed geometry.

Unit cell a=5.655 b=5.655 c=5.655 alpha=90.00 beta=90.00 gamma=90.00
Fractional positions:
Rb: 0.000 0.000 0.000
Mg: 0.500 0.500 0.500
Ge: 0.000 0.000 0.500
Ge: 0.000 0.500 0.000
Ge: 0.500 0.000 0.000

Summary:
Energy ... -8.5 eV for the cell shown
Magnetization ... 0.000 μB per cell
Density of states at the Fermi level ... 1.4786 states/eV/atom
Energy above the most stable polymorph in this dataset ... 1177.7 meV/atom
Formation energy ... 1.592 eV per atom
ρ ... 3.01 Mg/m³

The following is a DFT calculation (PBE) of crystalline RbMgGe3 at its relaxed geometry.

Unit cell a=5.237 b=5.237 c=5.237 alpha=90.00 beta=90.00 gamma=90.00
Fractional positions:
Rb: 0.000 0.000 0.000
Mg: 0.500 0.500 0.500
Ge: 0.000 0.500 0.500
Ge: 0.500 0.000 0.500
Ge: 0.500 0.500 0.000

Summary:
Energy ... -14.3 eV for the cell shown
Magnetization ... 0.000 μB per cell
Density of states at the Fermi level ... 0.5176 states/eV/atom
Energy above the most stable polymorph in this dataset ... 0.0 meV/atom
Formation energy ... 0.414 eV per atom
ρ ... 3.79 Mg/m³